# 1
Crystalline VGeSb2 at its relaxed geometry. Source: Alexandria via LeMat-Bulk, functional PBE.

Output
Energy relative to the elements, uncorrected in eV per atom: 0.666
Crystal system: trigonal
Size of the total moment in μB per cell: 3.10
Uncorrected energy in eV per atom: -4.829

Cell: 10.973 10.973 10.973 Å, 16.74 16.74 16.74°
Fractional positions:
V 0.000 0.000 0.000
Ge 0.500 0.500 0.500
Sb 0.085 0.085 0.085
Sb 0.915 0.915 0.915


# 2
Crystalline Cs2Te2Pt at its relaxed geometry. Source: Alexandria via LeMat-Bulk, functional PBE.

Output
Energy relative to the elements, uncorrected in eV per atom: -0.521
Crystal system: tetragonal
Size of the total moment in μB per cell: 0.00
Uncorrected energy in eV per atom: -3.327

Cell: 7.519 7.519 6.224 Å, 90.00 90.00 90.00°
Fractional positions:
Cs 0.167 0.333 0.000
Cs 0.333 0.833 0.000
Cs 0.667 0.167 0.000
Cs 0.833 0.667 0.000
Te 0.163 0.663 0.500
Te 0.337 0.163 0.500
Te 0.663 0.837 0.500
Te 0.837 0.337 0.500
Pt 0.000 0.000 0.500
Pt 0.500 0.500 0.500


# 3
Crystalline MgSeN2F at its relaxed geometry. Source: Alexandria via LeMat-Bulk, functional PBE.

Output
Energy relative to the elements, uncorrected in eV per atom: 0.598
Excess energy over the best structure of this formula in the dataset in meV/atom: 145.6
Crystal system: tetragonal
Size of the total moment in μB per cell: 1.59
Uncorrected energy in eV per atom: -4.123

Cell: 4.242 4.242 3.647 Å, 90.00 90.00 90.00°
Fractional positions:
Mg 0.000 0.000 0.000
Se 0.500 0.500 0.500
N 0.000 0.500 0.000
N 0.500 0.000 0.000
F 0.000 0.000 0.500


# 4
Crystalline Mn2GaN at its relaxed geometry. Source: Alexandria via LeMat-Bulk, functional PBE.

Output
Energy relative to the elements, uncorrected in eV per atom: -0.140
Crystal system: triclinic
Size of the total moment in μB per cell: 6.66
Uncorrected energy in eV per atom: -7.563

Cell: 3.775 5.224 5.329 Å, 108.02 90.03 110.60°
Fractional positions:
Mn 0.000 0.000 0.000
Mn 0.028 0.005 0.503
Mn 0.424 0.621 0.155
Mn 0.807 0.386 0.854
Ga 0.411 0.738 0.669
Ga 0.671 0.267 0.336
N 0.257 0.282 0.841
N 0.975 0.723 0.166


# 5
Crystalline K4TlHg at its relaxed geometry. Source: Alexandria via LeMat-Bulk, functional PBE.

Output
Excess energy over the best structure of this formula in the dataset in meV/atom: 294.2
Crystal system: cubic
Size of the total moment in μB per cell: 1.13
Uncorrected energy in eV per atom: -0.997
Energy relative to the elements in meV/atom: 180

Cell: 7.567 7.567 7.567 Å, 60.00 60.00 60.00°
Fractional positions:
K 0.125 0.125 0.125
K 0.125 0.125 0.626
K 0.125 0.626 0.125
K 0.626 0.125 0.125
Tl 0.750 0.750 0.750
Hg 0.500 0.500 0.500


# 6
Crystalline Ho2InTc at its relaxed geometry. Source: Alexandria via LeMat-Bulk, functional PBE.

Output
Excess energy over the best structure of this formula in the dataset in meV/atom: 89.8
Crystal system: cubic
Size of the total moment in μB per cell: 0.00
Uncorrected energy in eV per atom: -5.730
Energy relative to the elements in meV/atom: -165

Cell: 5.052 5.052 5.052 Å, 60.00 60.00 60.00°
Fractional positions:
Ho 0.250 0.250 0.250
Ho 0.750 0.750 0.750
In 0.000 0.000 0.000
Tc 0.500 0.500 0.500


# 7
Crystalline Mg2MnPd at its relaxed geometry. Source: Alexandria via LeMat-Bulk, functional PBE.

Output
Crystal system: tetragonal
Size of the total moment in μB per cell: 3.58
Uncorrected energy in eV per atom: -4.577
Energy relative to the elements in meV/atom: -189

Cell: 4.160 4.160 3.859 Å, 90.00 90.00 90.00°
Fractional positions:
Mg 0.000 0.500 0.000
Mg 0.500 0.000 0.000
Mn 0.000 0.000 0.500
Pd 0.500 0.500 0.500


# 8
Crystalline LaIrPt at its relaxed geometry. Source: Alexandria via LeMat-Bulk, functional PBE.

Output
Excess energy over the best structure of this formula in the dataset in meV/atom: 111.7
Crystal system: monoclinic
Size of the total moment in μB per cell: 0.00
Uncorrected energy in eV per atom: -7.395
Energy relative to the elements in meV/atom: -785

Cell: 5.528 5.528 5.626 Å, 93.46 93.46 47.60°
Fractional positions:
La 0.000 0.000 0.000
La 0.598 0.598 0.507
Ir 0.311 0.311 0.257
Ir 0.877 0.877 0.478
Pt 0.307 0.307 0.756
Pt 0.712 0.712 0.018


# 9
Crystalline Sr2ScNiCl at its relaxed geometry. Source: Alexandria via LeMat-Bulk, functional PBE.

Output
Energy relative to the elements, uncorrected in eV per atom: 0.115
Crystal system: tetragonal
Size of the total moment in μB per cell: 0.00
Uncorrected energy in eV per atom: -3.350

Cell: 6.277 6.277 4.216 Å, 90.00 90.00 90.00°
Fractional positions:
Sr 0.000 0.500 0.000
Sr 0.500 0.000 0.000
Sc 0.000 0.000 0.500
Ni 0.500 0.500 0.000
Cl 0.500 0.500 0.500


# 10
Crystalline LiCaAsSe2 at its relaxed geometry. Source: Alexandria via LeMat-Bulk, functional PBE.

Output
Energy relative to the elements, uncorrected in eV per atom: -0.046
Excess energy over the best structure of this formula in the dataset in meV/atom: 438.3
Crystal system: tetragonal
Size of the total moment in μB per cell: 0.00
Uncorrected energy in eV per atom: -3.153

Cell: 5.488 5.488 5.418 Å, 90.00 90.00 90.00°
Fractional positions:
Li 0.000 0.000 0.000
Ca 0.500 0.500 0.500
As 0.500 0.500 0.000
Se 0.000 0.500 0.500
Se 0.500 0.000 0.500


# 11
Crystalline TaMoW4 at its relaxed geometry. Source: Alexandria via LeMat-Bulk, functional PBE.

Output
Excess energy over the best structure of this formula in the dataset in meV/atom: 353.7
Crystal system: cubic
Size of the total moment in μB per cell: 0.00
Uncorrected energy in eV per atom: -12.155
Energy relative to the elements in meV/atom: 261

Cell: 5.269 5.269 5.269 Å, 60.00 60.00 60.00°
Fractional positions:
Ta 0.000 0.000 0.000
Mo 0.250 0.250 0.250
W 0.125 0.625 0.625
W 0.625 0.125 0.625
W 0.625 0.625 0.125
W 0.625 0.625 0.625


# 12
Crystalline Mg8Sn2Hg at its relaxed geometry. Source: Alexandria via LeMat-Bulk, functional PBE.

Output
Excess energy over the best structure of this formula in the dataset in meV/atom: 6.8
Crystal system: orthorhombic
Size of the total moment in μB per cell: 0.00
Uncorrected energy in eV per atom: -2.017
Energy relative to the elements in meV/atom: -102

Cell: 8.602 8.602 8.602 Å, 146.41 133.22 58.81°
Fractional positions:
Mg 0.120 0.358 0.762
Mg 0.177 0.177 0.000
Mg 0.255 0.000 0.255
Mg 0.405 0.642 0.762
Mg 0.595 0.358 0.238
Mg 0.745 0.000 0.745
Mg 0.823 0.823 0.000
Mg 0.880 0.642 0.238
Sn 0.320 0.820 0.500
Sn 0.680 0.180 0.500
Hg 0.000 0.500 0.500